[1]
# PBE FeSb2, relaxed
# E = -47.5 eV for the cell shown
# Mass density = 7.57 g/cm³
data_FeSb2
_space_group_name_H-M_alt 'P 1'
_space_group_IT_number 1
_space_group_name_Hall 'P 1'
_cell_length_a 4.1206
_cell_length_b 4.1206
_cell_length_c 13.3908
_cell_angle_alpha 90.00
_cell_angle_beta 90.00
_cell_angle_gamma 120.00
loop_
_atom_site_label
_atom_site_type_symbol
_atom_site_fract_x
_atom_site_fract_y
_atom_site_fract_z
Fe1 Fe 0.0000 0.0000 0.0000
Fe2 Fe 0.3333 0.6667 0.1524
Fe3 Fe 0.6667 0.3333 0.8476
Sb1 Sb 0.0000 0.0000 0.2558
Sb2 Sb 0.0000 0.0000 0.7442
Sb3 Sb 0.3333 0.6667 0.5623
Sb4 Sb 0.3333 0.6667 0.9103
Sb5 Sb 0.6667 0.3333 0.0897
Sb6 Sb 0.6667 0.3333 0.4377

[2]
# PBE Fe3Sb, relaxed
# E = -57.6 eV for the cell shown
# Mass density = 8.52 g/cm³
data_Fe3Sb
_space_group_name_H-M_alt 'P 1'
_space_group_IT_number 1
_space_group_name_Hall 'P 1'
_cell_length_a 5.4879
_cell_length_b 5.4879
_cell_length_c 4.3236
_cell_angle_alpha 90.00
_cell_angle_beta 90.00
_cell_angle_gamma 120.00
loop_
_atom_site_label
_atom_site_type_symbol
_atom_site_fract_x
_atom_site_fract_y
_atom_site_fract_z
Fe1 Fe 0.1503 0.3007 0.2500
Fe2 Fe 0.1503 0.8497 0.2500
Fe3 Fe 0.3007 0.1503 0.7500
Fe4 Fe 0.6993 0.8497 0.2500
Fe5 Fe 0.8497 0.1503 0.7500
Fe6 Fe 0.8497 0.6993 0.7500
Sb1 Sb 0.3333 0.6667 0.7500
Sb2 Sb 0.6667 0.3333 0.2500

[3]
# PBE FeSb2, relaxed
# E = -32.2 eV for the cell shown
# Mass density = 8.24 g/cm³
data_FeSb2
_space_group_name_H-M_alt 'P 1'
_space_group_IT_number 1
_space_group_name_Hall 'P 1'
_cell_length_a 5.4252
_cell_length_b 5.4252
_cell_length_c 5.4252
_cell_angle_alpha 105.27
_cell_angle_beta 105.27
_cell_angle_gamma 118.25
loop_
_atom_site_label
_atom_site_type_symbol
_atom_site_fract_x
_atom_site_fract_y
_atom_site_fract_z
Fe1 Fe 0.2500 0.2500 0.0000
Fe2 Fe 0.7500 0.7500 0.0000
Sb1 Sb 0.1617 0.6617 0.8234
Sb2 Sb 0.3383 0.1617 0.5000
Sb3 Sb 0.6617 0.8383 0.5000
Sb4 Sb 0.8383 0.3383 0.1766

[4]
# PBE Fe3Sb, relaxed
# E = -113.3 eV for the cell shown
# Mass density = 8.37 g/cm³
data_Fe3Sb
_space_group_name_H-M_alt 'P 1'
_space_group_IT_number 1
_space_group_name_Hall 'P 1'
_cell_length_a 7.1125
_cell_length_b 7.1125
_cell_length_c 7.1125
_cell_angle_alpha 97.84
_cell_angle_beta 97.84
_cell_angle_gamma 136.64
loop_
_atom_site_label
_atom_site_type_symbol
_atom_site_fract_x
_atom_site_fract_y
_atom_site_fract_z
Fe1 Fe 0.0033 0.3213 0.4992
Fe2 Fe 0.0817 0.2473 0.8348
Fe3 Fe 0.1581 0.6583 0.9404
Fe4 Fe 0.3417 0.2822 0.4998
Fe5 Fe 0.4125 0.2469 0.1652
Fe6 Fe 0.4959 0.9967 0.3180
Fe7 Fe 0.6787 0.1779 0.6820
Fe8 Fe 0.7178 0.2176 0.0596
Fe9 Fe 0.7527 0.5875 0.8344
Fe10 Fe 0.7531 0.9183 0.1656
Fe11 Fe 0.7824 0.8419 0.5002
Fe12 Fe 0.8221 0.5041 0.5008
Sb1 Sb 0.2520 0.0267 0.7748
Sb2 Sb 0.2519 0.4772 0.2252
Sb3 Sb 0.5228 0.7480 0.7747
Sb4 Sb 0.9733 0.7481 0.2253

[5]
# PBE FeSb2, relaxed
# E = -29.9 eV for the cell shown
# Mass density = 3.26 g/cm³
data_FeSb2
_space_group_name_H-M_alt 'P 1'
_space_group_IT_number 1
_space_group_name_Hall 'P 1'
_cell_length_a 7.5534
_cell_length_b 7.5534
_cell_length_c 7.5534
_cell_angle_alpha 60.00
_cell_angle_beta 60.00
_cell_angle_gamma 60.00
loop_
_atom_site_label
_atom_site_type_symbol
_atom_site_fract_x
_atom_site_fract_y
_atom_site_fract_z
Fe1 Fe 0.1250 0.1250 0.1250
Fe2 Fe 0.8750 0.8750 0.8750
Sb1 Sb 0.0000 0.0000 0.0000
Sb2 Sb 0.0000 0.0000 0.5000
Sb3 Sb 0.0000 0.5000 0.0000
Sb4 Sb 0.5000 0.0000 0.0000

[6]
# PBE ScFeSb2, relaxed
# E = -22.3 eV for the cell shown
# Mass density = 6.73 g/cm³
data_ScFeSb2
_space_group_name_H-M_alt 'P 1'
_space_group_IT_number 1
_space_group_name_Hall 'P 1'
_cell_length_a 4.9349
_cell_length_b 4.9349
_cell_length_c 4.9349
_cell_angle_alpha 60.00
_cell_angle_beta 60.00
_cell_angle_gamma 60.00
loop_
_atom_site_label
_atom_site_type_symbol
_atom_site_fract_x
_atom_site_fract_y
_atom_site_fract_z
Sc1 Sc 0.0000 0.0000 0.0000
Fe1 Fe 0.2500 0.2500 0.2500
Sb1 Sb 0.5000 0.5000 0.5000
Sb2 Sb 0.7500 0.7500 0.7500

[7]
# PBE ScFe2Sb, relaxed
# E = -24.7 eV for the cell shown
# Mass density = 6.02 g/cm³
data_ScFe2Sb
_space_group_name_H-M_alt 'P 1'
_space_group_IT_number 1
_space_group_name_Hall 'P 1'
_cell_length_a 3.0336
_cell_length_b 3.0336
_cell_length_c 9.6367
_cell_angle_alpha 90.00
_cell_angle_beta 90.00
_cell_angle_gamma 120.00
loop_
_atom_site_label
_atom_site_type_symbol
_atom_site_fract_x
_atom_site_fract_y
_atom_site_fract_z
Sc1 Sc 0.0000 0.0000 0.0000
Fe1 Fe 0.3333 0.6667 0.2263
Fe2 Fe 0.3333 0.6667 0.7737
Sb1 Sb 0.3333 0.6667 0.5000

[8]
# PBE ScFe2Sb, relaxed
# E = -27.3 eV for the cell shown
# Mass density = 7.17 g/cm³
data_ScFe2Sb
_space_group_name_H-M_alt 'P 1'
_space_group_IT_number 1
_space_group_name_Hall 'P 1'
_cell_length_a 4.5020
_cell_length_b 4.5020
_cell_length_c 4.5020
_cell_angle_alpha 60.00
_cell_angle_beta 60.00
_cell_angle_gamma 60.00
loop_
_atom_site_label
_atom_site_type_symbol
_atom_site_fract_x
_atom_site_fract_y
_atom_site_fract_z
Sc1 Sc 0.0000 0.0000 0.0000
Fe1 Fe 0.2500 0.2500 0.2500
Fe2 Fe 0.5000 0.5000 0.5000
Sb1 Sb 0.7500 0.7500 0.7500

[9]
# PBE Tm3Sc3FeSb2, relaxed
# E = -53.5 eV for the cell shown
# Mass density = 7.27 g/cm³
# ΔE to the lowest computed polymorph = 1.064 eV per formula unit
data_Tm3Sc3FeSb2
_space_group_name_H-M_alt 'P 1'
_space_group_IT_number 1
_space_group_name_Hall 'P 1'
_cell_length_a 7.9534
_cell_length_b 7.9534
_cell_length_c 3.9222
_cell_angle_alpha 90.00
_cell_angle_beta 90.00
_cell_angle_gamma 120.00
loop_
_atom_site_label
_atom_site_type_symbol
_atom_site_fract_x
_atom_site_fract_y
_atom_site_fract_z
Tm1 Tm 0.0000 0.2382 0.0000
Tm2 Tm 0.2382 0.0000 0.0000
Tm3 Tm 0.7618 0.7618 0.0000
Sc1 Sc 0.0000 0.6080 0.5000
Sc2 Sc 0.3920 0.3920 0.5000
Sc3 Sc 0.6080 0.0000 0.5000
Fe1 Fe 0.0000 0.0000 0.5000
Sb1 Sb 0.3333 0.6667 0.0000
Sb2 Sb 0.6667 0.3333 0.0000

[10]
# PBE Tm3Sc3FeSb2, relaxed
# E = -54.5 eV for the cell shown
# Mass density = 7.32 g/cm³
# ΔE to the lowest computed polymorph = 0.000 eV per formula unit
data_Tm3Sc3FeSb2
_space_group_name_H-M_alt 'P 1'
_space_group_IT_number 1
_space_group_name_Hall 'P 1'
_cell_length_a 7.7913
_cell_length_b 7.7913
_cell_length_c 4.0626
_cell_angle_alpha 90.00
_cell_angle_beta 90.00
_cell_angle_gamma 120.00
loop_
_atom_site_label
_atom_site_type_symbol
_atom_site_fract_x
_atom_site_fract_y
_atom_site_fract_z
Tm1 Tm 0.0000 0.6103 0.0000
Tm2 Tm 0.3897 0.3897 0.0000
Tm3 Tm 0.6103 0.0000 0.0000
Sc1 Sc 0.0000 0.2265 0.5000
Sc2 Sc 0.2265 0.0000 0.5000
Sc3 Sc 0.7735 0.7735 0.5000
Fe1 Fe 0.0000 0.0000 0.0000
Sb1 Sb 0.3333 0.6667 0.5000
Sb2 Sb 0.6667 0.3333 0.5000

[11]
# PBE ScFeSbW, relaxed
# E = -30.5 eV for the cell shown
# Mass density = 10.14 g/cm³
# ΔE to the lowest computed polymorph = 0.000 eV per formula unit
data_ScFeSbW
_space_group_name_H-M_alt 'P 1'
_space_group_IT_number 1
_space_group_name_Hall 'P 1'
_cell_length_a 4.5489
_cell_length_b 4.5489
_cell_length_c 4.5489
_cell_angle_alpha 60.00
_cell_angle_beta 60.00
_cell_angle_gamma 60.00
loop_
_atom_site_label
_atom_site_type_symbol
_atom_site_fract_x
_atom_site_fract_y
_atom_site_fract_z
Sc1 Sc 0.0000 0.0000 0.0000
Fe1 Fe 0.7500 0.7500 0.7500
Sb1 Sb 0.5000 0.5000 0.5000
W1 W 0.2500 0.2500 0.2500

[12]
# PBE YScFeSb, relaxed
# E = -25.4 eV for the cell shown
# Mass density = 6.65 g/cm³
# ΔE to the lowest computed polymorph = 0.000 eV per formula unit
data_YScFeSb
_space_group_name_H-M_alt 'P 1'
_space_group_IT_number 1
_space_group_name_Hall 'P 1'
_cell_length_a 4.7923
_cell_length_b 4.7923
_cell_length_c 4.7923
_cell_angle_alpha 60.00
_cell_angle_beta 60.00
_cell_angle_gamma 60.00
loop_
_atom_site_label
_atom_site_type_symbol
_atom_site_fract_x
_atom_site_fract_y
_atom_site_fract_z
Y1 Y 0.0000 0.0000 0.0000
Sc1 Sc 0.2500 0.2500 0.2500
Fe1 Fe 0.7500 0.7500 0.7500
Sb1 Sb 0.5000 0.5000 0.5000

[13]
# PBE Zr3Sc3FeSb2, relaxed
# E = -65.8 eV for the cell shown
# Mass density = 6.16 g/cm³
# ΔE to the lowest computed polymorph = 0.226 eV per formula unit
data_Zr3Sc3FeSb2
_space_group_name_H-M_alt 'P 1'
_space_group_IT_number 1
_space_group_name_Hall 'P 1'
_cell_length_a 7.6895
_cell_length_b 7.6895
_cell_length_c 3.7295
_cell_angle_alpha 90.00
_cell_angle_beta 90.00
_cell_angle_gamma 120.00
loop_
_atom_site_label
_atom_site_type_symbol
_atom_site_fract_x
_atom_site_fract_y
_atom_site_fract_z
Zr1 Zr 0.0000 0.6084 0.0000
Zr2 Zr 0.3916 0.3916 0.0000
Zr3 Zr 0.6084 0.0000 0.0000
Sc1 Sc 0.0000 0.2373 0.5000
Sc2 Sc 0.2373 0.0000 0.5000
Sc3 Sc 0.7627 0.7627 0.5000
Fe1 Fe 0.0000 0.0000 0.0000
Sb1 Sb 0.3333 0.6667 0.5000
Sb2 Sb 0.6667 0.3333 0.5000

[14]
# PBE Zr3Sc3FeSb2, relaxed
# E = -66.0 eV for the cell shown
# Mass density = 6.04 g/cm³
# ΔE to the lowest computed polymorph = 0.000 eV per formula unit
data_Zr3Sc3FeSb2
_space_group_name_H-M_alt 'P 1'
_space_group_IT_number 1
_space_group_name_Hall 'P 1'
_cell_length_a 7.8134
_cell_length_b 7.8134
_cell_length_c 3.6804
_cell_angle_alpha 90.00
_cell_angle_beta 90.00
_cell_angle_gamma 120.00
loop_
_atom_site_label
_atom_site_type_symbol
_atom_site_fract_x
_atom_site_fract_y
_atom_site_fract_z
Zr1 Zr 0.0000 0.2376 0.0000
Zr2 Zr 0.2376 0.0000 0.0000
Zr3 Zr 0.7624 0.7624 0.0000
Sc1 Sc 0.0000 0.6036 0.5000
Sc2 Sc 0.3964 0.3964 0.5000
Sc3 Sc 0.6036 0.0000 0.5000
Fe1 Fe 0.0000 0.0000 0.5000
Sb1 Sb 0.3333 0.6667 0.0000
Sb2 Sb 0.6667 0.3333 0.0000

[15]
# PBE ZrScFeSb, relaxed
# E = -27.4 eV for the cell shown
# Mass density = 7.13 g/cm³
# ΔE to the lowest computed polymorph = 0.000 eV per formula unit
data_ZrScFeSb
_space_group_name_H-M_alt 'P 1'
_space_group_IT_number 1
_space_group_name_Hall 'P 1'
_cell_length_a 4.6926
_cell_length_b 4.6926
_cell_length_c 4.6926
_cell_angle_alpha 60.00
_cell_angle_beta 60.00
_cell_angle_gamma 60.00
loop_
_atom_site_label
_atom_site_type_symbol
_atom_site_fract_x
_atom_site_fract_y
_atom_site_fract_z
Zr1 Zr 0.0000 0.0000 0.0000
Sc1 Sc 0.2500 0.2500 0.2500
Fe1 Fe 0.7500 0.7500 0.7500
Sb1 Sb 0.5000 0.5000 0.5000

[16]
# PBE Fe2Sb3Se, relaxed
# E = -33.1 eV for the cell shown
# Mass density = 7.97 g/cm³
data_Fe2Sb3Se
_space_group_name_H-M_alt 'P 1'
_space_group_IT_number 1
_space_group_name_Hall 'P 1'
_cell_length_a 5.5947
_cell_length_b 3.2668
_cell_length_c 6.3399
_cell_angle_alpha 90.00
_cell_angle_beta 91.85
_cell_angle_gamma 90.00
loop_
_atom_site_label
_atom_site_type_symbol
_atom_site_fract_x
_atom_site_fract_y
_atom_site_fract_z
Fe1 Fe 0.0000 0.0000 0.0000
Fe2 Fe 0.4715 0.5000 0.4787
Sb1 Sb 0.2967 0.5000 0.8422
Sb2 Sb 0.6880 0.5000 0.1347
Sb3 Sb 0.7938 0.0000 0.6353
Se1 Se 0.1878 0.0000 0.3471

[17]
# PBE Fe2SbSe3, relaxed
# E = -32.8 eV for the cell shown
# Mass density = 7.36 g/cm³
data_Fe2SbSe3
_space_group_name_H-M_alt 'P 1'
_space_group_IT_number 1
_space_group_name_Hall 'P 1'
_cell_length_a 5.0708
_cell_length_b 3.5168
_cell_length_c 5.9558
_cell_angle_alpha 90.00
_cell_angle_beta 92.62
_cell_angle_gamma 90.00
loop_
_atom_site_label
_atom_site_type_symbol
_atom_site_fract_x
_atom_site_fract_y
_atom_site_fract_z
Fe1 Fe 0.0000 0.0000 0.0000
Fe2 Fe 0.4736 0.5000 0.5201
Sb1 Sb 0.7808 0.0000 0.3666
Se1 Se 0.1991 0.0000 0.6508
Se2 Se 0.2700 0.5000 0.1492
Se3 Se 0.7095 0.5000 0.8716

[18]
# PBE Fe3Si2Sb2, relaxed
# E = -43.3 eV for the cell shown
# Mass density = 7.65 g/cm³
data_Fe3Si2Sb2
_space_group_name_H-M_alt 'P 1'
_space_group_IT_number 1
_space_group_name_Hall 'P 1'
_cell_length_a 7.1338
_cell_length_b 7.1338
_cell_length_c 7.1338
_cell_angle_alpha 34.04
_cell_angle_beta 34.04
_cell_angle_gamma 34.04
loop_
_atom_site_label
_atom_site_type_symbol
_atom_site_fract_x
_atom_site_fract_y
_atom_site_fract_z
Fe1 Fe 0.0000 0.0000 0.0000
Fe2 Fe 0.2533 0.2533 0.2533
Fe3 Fe 0.5068 0.5068 0.5068
Si1 Si 0.1257 0.1257 0.1257
Si2 Si 0.6293 0.6293 0.6293
Sb1 Sb 0.3821 0.3821 0.3821
Sb2 Sb 0.8711 0.8711 0.8711

[19]
# PBE FeSi2Sb, relaxed
# E = -20.9 eV for the cell shown
# Mass density = 6.19 g/cm³
data_FeSi2Sb
_space_group_name_H-M_alt 'P 1'
_space_group_IT_number 1
_space_group_name_Hall 'P 1'
_cell_length_a 4.4607
_cell_length_b 4.4607
_cell_length_c 4.4607
_cell_angle_alpha 60.00
_cell_angle_beta 60.00
_cell_angle_gamma 60.00
loop_
_atom_site_label
_atom_site_type_symbol
_atom_site_fract_x
_atom_site_fract_y
_atom_site_fract_z
Fe1 Fe 0.0000 0.0000 0.0000
Si1 Si 0.2500 0.2500 0.2500
Si2 Si 0.5000 0.5000 0.5000
Sb1 Sb 0.7500 0.7500 0.7500

[20]
# PBE SmFeSb3, relaxed
# E = -222.6 eV for the cell shown
# Mass density = 8.07 g/cm³
data_SmFeSb3
_space_group_name_H-M_alt 'P 1'
_space_group_IT_number 1
_space_group_name_Hall 'P 1'
_cell_length_a 12.6255
_cell_length_b 6.1600
_cell_length_c 12.0906
_cell_angle_alpha 90.00
_cell_angle_beta 90.00
_cell_angle_gamma 90.00
loop_
_atom_site_label
_atom_site_type_symbol
_atom_site_fract_x
_atom_site_fract_y
_atom_site_fract_z
Sm1 Sm 0.1954 0.2220 0.2500
Sm2 Sm 0.1954 0.2780 0.7500
Sm3 Sm 0.2010 0.7500 0.0000
Sm4 Sm 0.2010 0.7500 0.5000
Sm5 Sm 0.7990 0.2500 0.0000
Sm6 Sm 0.7990 0.2500 0.5000
Sm7 Sm 0.8046 0.7220 0.2500
Sm8 Sm 0.8046 0.7780 0.7500
Fe1 Fe 0.3988 0.0364 0.6385
Fe2 Fe 0.3988 0.0364 0.8615
Fe3 Fe 0.3988 0.4636 0.1385
Fe4 Fe 0.3988 0.4636 0.3615
Fe5 Fe 0.6012 0.5364 0.6385
Fe6 Fe 0.6012 0.5364 0.8615
Fe7 Fe 0.6012 0.9636 0.1385
Fe8 Fe 0.6012 0.9636 0.3615
Sb1 Sb 0.0029 0.0141 0.6239
Sb2 Sb 0.0029 0.0141 0.8761
Sb3 Sb 0.0029 0.4859 0.1239
Sb4 Sb 0.0029 0.4859 0.3761
Sb5 Sb 0.2805 0.2500 0.0000
Sb6 Sb 0.2805 0.2500 0.5000
Sb7 Sb 0.2835 0.7338 0.2500
Sb8 Sb 0.2835 0.7662 0.7500
Sb9 Sb 0.4424 0.1146 0.2500
Sb10 Sb 0.4424 0.3854 0.7500
Sb11 Sb 0.4719 0.7500 0.0000
Sb12 Sb 0.4719 0.7500 0.5000
Sb13 Sb 0.5281 0.2500 0.0000
Sb14 Sb 0.5281 0.2500 0.5000
Sb15 Sb 0.5576 0.6146 0.2500
Sb16 Sb 0.5576 0.8854 0.7500
Sb17 Sb 0.7165 0.2338 0.2500
Sb18 Sb 0.7165 0.2662 0.7500
Sb19 Sb 0.7195 0.7500 0.0000
Sb20 Sb 0.7195 0.7500 0.5000
Sb21 Sb 0.9971 0.5141 0.6239
Sb22 Sb 0.9971 0.5141 0.8761
Sb23 Sb 0.9971 0.9859 0.1239
Sb24 Sb 0.9971 0.9859 0.3761